Material: La3SnO
Method: DFT, PBE-GGA
State: relaxed

Cell lengths 5.714, 7.614, 7.086 Å; angles 103.62, 87.33, 88.55 degrees
Element x y z (fractional)
Sn1 0.839 0.998 0.576
Sn2 0.386 0.458 0.315
O1 0.114 0.554 0.824
O2 0.111 0.902 0.067
La1 0.898 0.658 0.130
La2 0.867 0.450 0.575
La3 0.326 0.799 0.761
La4 0.842 0.129 0.057
La5 0.358 0.006 0.316
La6 0.382 0.327 0.834

Values from the calculation:
- size of the total moment (μB per cell) = 0.00
- raw total energy (eV per atom) = -6.201
- formation energy (no corrections) (eV per atom) = -1.453
- calculated volume (Å³/cell) = 299.1



Material: SrAsPb
Method: DFT, PBE-GGA
State: relaxed

Cell lengths 6.542, 5.407, 5.407 Å; angles 112.06, 90.00, 90.00 degrees
Element x y z (fractional)
Sr1 0.250 0.657 0.343
Sr2 0.750 0.343 0.657
As1 0.250 0.307 0.693
As2 0.750 0.693 0.307
Pb1 0.500 0.000 0.000
Pb2 0.000 0.000 0.000

Values from the calculation:
- size of the total moment (μB per cell) = 0.00
- raw total energy (eV per atom) = -3.907
- calculated volume (Å³/cell) = 177.2
- ΔE_f (eV/f.u.) = -1.68



Material: SrBe2Ru
Method: DFT, PBE-GGA
State: relaxed

Cell lengths 3.459, 3.201, 6.332 Å; angles 75.56, 90.00, 90.00 degrees
Element x y z (fractional)
Ru1 0.000 0.516 0.346
Be1 0.000 0.140 0.094
Be2 0.500 0.041 0.296
Sr1 0.500 0.803 0.764

Values from the calculation:
- size of the total moment (μB per cell) = 0.00
- raw total energy (eV per atom) = -4.453
- calculated volume (Å³/cell) = 67.9
- ΔE_f (eV/f.u.) = 0.60